First-principles (GGA-PBE) data for an optimized crystal structure of RbGe2PbCl8, as listed in Alexandria via LeMat-Bulk.

Cell lengths 6.583, 6.905, 9.509 Å; angles 86.62, 88.99, 82.45 degrees
Sites, in units of the cell vectors:
1 Rb 0.000 0.000 0.000
2 Ge 0.435 0.451 0.274
3 Ge 0.565 0.549 0.726
4 Pb 0.000 0.000 0.500
5 Cl 0.239 0.799 0.290
6 Cl 0.258 0.316 0.464
7 Cl 0.262 0.823 0.723
8 Cl 0.269 0.366 0.084
9 Cl 0.731 0.634 0.916
10 Cl 0.738 0.177 0.277
11 Cl 0.742 0.684 0.536
12 Cl 0.761 0.201 0.710

Calculated values
- Space group: No. 2
- Magnetization: 0.00 μB per atom
- Formation energy from raw total energies: -1017.3 meV per atom
- E_tot: -3.41 eV/atom